Density functional theory data (PBE-GGA) for H5SI4 after structural relaxation.

Values from the calculation:
- DFT total energy (eV/atom) = -2.40
- size of the total moment (μB/cell) = 0.0
- DOS(E_F) (states/eV per cell) = 6.023

abc: 6.6198 6.6198 6.6198
angles: 109.47 109.47 109.48
Last column: nearest neighbours and their distance in Å.
Fractional coordinates of all 10 atoms:
H 0.0000 0.0000 0.0000  1 S 1.36
H 0.0117 0.1290 0.7579  1 S 1.46
H 0.1290 0.3711 0.1173  1 S 1.46
H 0.2538 0.0117 0.8827  1 S 1.46
H 0.3711 0.2538 0.2421  1 S 1.46
S 0.1779 0.1779 0.0000  5 H 1.36-1.46
I 0.3382 0.5812 0.6152  2 H 2.71-2.82
I 0.5812 0.9660 0.2431  2 H 2.71-2.82
I 0.7230 0.3382 0.7569  2 H 2.71-2.82
I 0.9660 0.7230 0.3848  2 H 2.71-2.82